Entry 1:
Below is Ho9Er4Cd11 after structural relaxation, with properties calculated at the PBE-GGA level.

a b c (Å): 3.4984 13.7939 13.7939
angles (deg): 108.81 90.00 90.00
With the nearest neighbours (Å) after each atom.
Element x y z (fractional)
Ho1 0.5000 0.6191 0.1547  8 Cd 3.21-3.42, 1 Er 3.43, 2 Ho 3.50
Ho2 0.5000 0.3809 0.8453  8 Cd 3.21-3.42, 1 Er 3.43, 2 Ho 3.50
Ho3 0.5000 0.1547 0.6191  8 Cd 3.21-3.42, 1 Er 3.43, 2 Ho 3.50
Ho4 0.5000 0.8453 0.3809  8 Cd 3.21-3.42, 1 Er 3.43, 2 Ho 3.50
Ho5 0.5000 0.7945 0.9797  8 Cd 3.18-3.27, 2 Ho 3.50, 1 Er 3.56
Ho6 0.5000 0.2055 0.0203  8 Cd 3.18-3.27, 2 Ho 3.50, 1 Er 3.56
Ho7 0.5000 0.9797 0.7945  8 Cd 3.18-3.27, 2 Ho 3.50, 1 Er 3.56
Ho8 0.5000 0.0203 0.2055  8 Cd 3.18-3.27, 2 Ho 3.50, 1 Er 3.56
Ho9 0.5000 0.5000 0.5000  4 Er 3.26, 4 Cd 3.38, 2 Ho 3.50
Er1 0.5000 0.5817 0.7497  6 Cd 3.19-3.34, 3 Ho 3.26-3.56, 2 Er 3.50
Er2 0.5000 0.4183 0.2503  6 Cd 3.19-3.34, 3 Ho 3.26-3.56, 2 Er 3.50
Er3 0.5000 0.7497 0.5817  6 Cd 3.19-3.34, 3 Ho 3.26-3.56, 2 Er 3.50
Er4 0.5000 0.2503 0.4183  6 Cd 3.19-3.34, 3 Ho 3.26-3.56, 2 Er 3.50
Cd1 0.0000 0.5877 0.9488  3 Cd 3.17-3.50, 2 Er 3.23, 6 Ho 3.24-3.26
Cd2 0.0000 0.4123 0.0512  3 Cd 3.17-3.50, 2 Er 3.23, 6 Ho 3.24-3.26
Cd3 0.0000 0.9488 0.5877  3 Cd 3.17-3.50, 2 Er 3.23, 6 Ho 3.24-3.26
Cd4 0.0000 0.0512 0.4123  3 Cd 3.17-3.50, 2 Er 3.23, 6 Ho 3.24-3.26
Cd5 0.0000 0.6291 0.3709  4 Er 3.34, 6 Ho 3.38-3.42, 2 Cd 3.50
Cd6 0.0000 0.3709 0.6291  4 Er 3.34, 6 Ho 3.38-3.42, 2 Cd 3.50
Cd7 0.0000 0.8209 0.1791  8 Ho 3.18-3.21, 2 Cd 3.50
Cd8 0.0000 0.1791 0.8209  8 Ho 3.18-3.21, 2 Cd 3.50
Cd9 0.0000 0.0000 0.0000  8 Ho 3.27, 4 Cd 3.47-3.50
Cd10 0.0000 0.7836 0.7836  4 Ho 3.18, 4 Er 3.19, 3 Cd 3.47-3.50
Cd11 0.0000 0.2164 0.2164  4 Ho 3.18, 4 Er 3.19, 3 Cd 3.47-3.50

Properties
E_tot, eV per atom: -3.124


Entry 2:
Below is Cs2NaZnAs2 after structural relaxation, with properties calculated at the PBE-GGA level.

a b c (Å): 7.0763 6.7831 9.6019
angles (deg): 110.68 111.62 90.00
With the nearest neighbours (Å) after each atom.
Element x y z (fractional)
Cs1 0.4121 0.1686 0.3371  3 As 3.56-3.70, 2 Na 3.69, 2 Zn 3.73
Cs2 0.5879 0.8314 0.6629  3 As 3.56-3.70, 2 Na 3.69, 2 Zn 3.73
Cs3 0.0750 0.3314 0.6629  3 As 3.56-3.70, 2 Na 3.69, 2 Zn 3.73
Cs4 0.9250 0.6686 0.3371  3 As 3.56-3.70, 2 Na 3.69, 2 Zn 3.73
Na1 0.0000 0.7500 0.0000  4 As 3.01
Na2 0.0000 0.2500 0.0000  4 As 3.01
Zn1 0.5000 0.7500 0.0000  4 As 2.60
Zn2 0.5000 0.2500 0.0000  4 As 2.60
As1 0.7854 0.0815 0.1629  2 Zn 2.60
As2 0.3776 0.5815 0.1629  2 Zn 2.60
As3 0.6224 0.4185 0.8371  2 Zn 2.60
As4 0.2146 0.9185 0.8371  2 Zn 2.60

Properties
E_tot, eV per atom: -2.637


Entry 3:
Below is Na2TcSb2 after structural relaxation, with properties calculated at the PBE-GGA level.

a b c (Å): 7.0053 7.0053 5.1052
angles (deg): 90.00 90.00 90.00
With the nearest neighbours (Å) after each atom.
Element x y z (fractional)
Sb1 0.3496 0.8496 0.0000  2 Tc 2.67, 1 Sb 2.98
Sb2 0.8496 0.6504 0.0000  2 Tc 2.67, 1 Sb 2.98
Sb3 0.6504 0.1504 0.0000  2 Tc 2.67, 1 Sb 2.98
Sb4 0.1504 0.3496 0.0000  2 Tc 2.67, 1 Sb 2.98
Tc1 0.0000 0.0000 0.0000  4 Sb 2.67
Tc2 0.5000 0.5000 0.0000  4 Sb 2.67
Na1 0.1723 0.6723 0.5000  6 Sb 3.10-3.41, 1 Na 3.41
Na2 0.6723 0.8277 0.5000  6 Sb 3.10-3.41, 1 Na 3.41
Na3 0.8277 0.3277 0.5000  6 Sb 3.10-3.41, 1 Na 3.41
Na4 0.3277 0.1723 0.5000  6 Sb 3.10-3.41, 1 Na 3.41

Properties
Uncorrected formation energy, eV/atom: 0.0015


Entry 4:
Below is Be2WBr after structural relaxation, with properties calculated at the PBE-GGA level.

a b c (Å): 3.2052 3.1823 6.6245
angles (deg): 61.41 90.00 90.00
With the nearest neighbours (Å) after each atom.
Element x y z (fractional)
Be1 0.0000 0.0796 0.9212  1 Be 1.99
Be2 0.0000 0.4204 0.5788  1 Be 1.99
Br1 0.5000 0.2500 0.2500  2 W 2.91, 8 Be 2.96, 4 Br 3.18-3.21
W1 0.5000 0.7500 0.7500  8 Be 2.47

Properties
Uncorrected formation energy, eV/atom: 0.5374
Polymorph energy (0 for the lowest one), meV/atom: 151


Entry 5:
Below is AcNdTmSc after structural relaxation, with properties calculated at the PBE-GGA level.

a b c (Å): 5.7352 5.7352 5.7352
angles (deg): 60.00 60.00 60.00
With the nearest neighbours (Å) after each atom.
Element x y z (fractional)
Sc1 0.0000 0.0000 0.0000  4 Nd 3.51, 4 Ac 3.51
Ac1 0.2500 0.2500 0.2500  4 Sc 3.51, 4 Tm 3.51
Tm1 0.5000 0.5000 0.5000  4 Ac 3.51, 4 Nd 3.51
Nd1 0.7500 0.7500 0.7500  4 Sc 3.51, 4 Tm 3.51

Properties
E_tot, eV per atom: -4.817


Entry 6:
Below is LaGa2Pd3 after structural relaxation, with properties calculated at the PBE-GGA level.

a b c (Å): 4.1499 8.7100 10.1250
angles (deg): 106.35 90.00 103.78
With the nearest neighbours (Å) after each atom.
Element x y z (fractional)
La1 0.1636 0.3273 0.7049  6 Ga 3.20-3.25, 7 Pd 3.25-3.53
La2 0.8364 0.6727 0.2951  6 Ga 3.20-3.25, 7 Pd 3.25-3.53
La3 0.0000 0.0000 0.0000  6 Pd 3.15-3.29, 6 Ga 3.18-3.29
Ga1 0.1957 0.3914 0.1257  6 Pd 2.57-2.66
Ga2 0.8043 0.6086 0.8743  6 Pd 2.57-2.66
Ga3 0.4635 0.9270 0.2278  5 Pd 2.55-2.73
Ga4 0.5365 0.0730 0.7722  5 Pd 2.55-2.73
Ga5 0.3612 0.7224 0.5478  7 Pd 2.50-2.68
Ga6 0.6388 0.2776 0.4522  7 Pd 2.50-2.68
Pd1 0.0432 0.0864 0.3379  4 Ga 2.55-2.68, 1 Pd 2.81
Pd2 0.9568 0.9136 0.6621  4 Ga 2.55-2.68, 1 Pd 2.81
Pd3 0.2160 0.4321 0.3922  4 Ga 2.50-2.62
Pd4 0.7840 0.5679 0.6078  4 Ga 2.50-2.62
Pd5 0.6182 0.2364 0.1962  4 Ga 2.51-2.73
Pd6 0.3818 0.7636 0.8038  4 Ga 2.51-2.73
Pd7 0.5000 0.0000 0.5000  4 Ga 2.53-2.64
Pd8 0.3243 0.6487 0.0392  4 Ga 2.57-2.62, 1 Pd 2.82
Pd9 0.6757 0.3513 0.9608  4 Ga 2.57-2.62, 1 Pd 2.82

Properties
E_tot, eV per atom: -5.227


Entry 7:
Below is NdDyN after structural relaxation, with properties calculated at the PBE-GGA level.

a b c (Å): 6.2647 3.5530 3.5530
angles (deg): 120.00 90.00 90.00
With the nearest neighbours (Å) after each atom.
Element x y z (fractional)
N1 0.0189 0.0000 0.0000  3 Dy 2.37, 3 Nd 2.57
Nd1 0.7722 0.6667 0.3333  3 N 2.57
Dy1 0.2089 0.3333 0.6667  3 N 2.37

Properties
Uncorrected formation energy, eV/atom: -0.9425
Polymorph energy (0 for the lowest one), meV/atom: 0


Entry 8:
Below is InHgH2W after structural relaxation, with properties calculated at the PBE-GGA level.

a b c (Å): 3.9079 5.8163 3.9079
angles (deg): 90.00 90.00 90.00
With the nearest neighbours (Å) after each atom.
Element x y z (fractional)
H1 0.0000 0.0000 0.5000  2 In 1.95
H2 0.5000 0.0000 0.0000  2 In 1.95
Hg1 0.5000 0.5000 0.5000  4 W 2.76
W1 0.0000 0.5000 0.0000  4 Hg 2.76, 2 In 2.91
In1 0.0000 0.0000 0.0000  4 H 1.95

Properties
E_tot, eV per atom: -3.397